Record 1
Density functional theory data (PBE) for a relaxed Hf2Pt7Rh2 crystal.

Calculated values
Its formation enthalpy at 0 K is -559 meV/atom. Its density of states at the Fermi level is 14.07 states/eV per cell. The total energy is -7.550 eV/atom.

Unit cell a=3.970 b=7.435 c=7.435 alpha=63.67 beta=74.51 gamma=74.51
Atoms (fractional coordinates):
Hf1 0.669 0.831 0.831
Hf2 0.331 0.169 0.169
Pt1 0.160 0.584 0.097
Pt2 0.840 0.903 0.416
Pt3 0.840 0.416 0.903
Pt4 0.160 0.097 0.584
Pt5 0.333 0.667 0.667
Pt6 0.000 0.000 0.000
Pt7 0.667 0.333 0.333
Rh1 0.500 0.743 0.257
Rh2 0.500 0.257 0.743

***

Record 2
Density functional theory data (PBE) for a relaxed HfPt6Rh3 crystal.

Calculated values
Its formation enthalpy at 0 K is -228 meV/atom. Its density of states at the Fermi level is 25.22 states/eV per cell. The total energy is -7.053 eV/atom.

Unit cell a=4.051 b=8.771 c=10.461 alpha=115.58 beta=90.00 gamma=90.00
Atoms (fractional coordinates):
Hf1 0.750 0.045 0.736
Hf2 0.250 0.955 0.264
Pt1 0.750 0.446 0.638
Pt2 0.250 0.554 0.362
Pt3 0.750 0.778 0.061
Pt4 0.250 0.222 0.939
Pt5 0.750 0.423 0.166
Pt6 0.250 0.577 0.834
Pt7 0.750 0.764 0.311
Pt8 0.250 0.236 0.689
Pt9 0.750 0.107 0.481
Pt10 0.250 0.893 0.519
Pt11 0.750 0.775 0.801
Pt12 0.250 0.225 0.199
Rh1 0.750 0.411 0.899
Rh2 0.250 0.589 0.101
Rh3 0.750 0.687 0.536
Rh4 0.250 0.313 0.464
Rh5 0.750 0.091 0.029
Rh6 0.250 0.909 0.971

***

Record 3
Density functional theory data (PBE) for a relaxed Hf2Pt6Rh crystal.

Calculated values
Its formation enthalpy at 0 K is -847 meV/atom. Its density of states at the Fermi level is 7.31 states/eV per cell. The total energy is -7.903 eV/atom.

Unit cell a=3.951 b=6.411 c=6.434 alpha=107.85 beta=107.88 gamma=90.00
Atoms (fractional coordinates):
Hf1 0.942 0.185 0.883
Hf2 0.058 0.815 0.117
Pt1 0.395 0.833 0.790
Pt2 0.605 0.167 0.210
Pt3 0.720 0.837 0.440
Pt4 0.170 0.509 0.339
Pt5 0.280 0.163 0.560
Pt6 0.830 0.491 0.661
Rh1 0.500 0.500 0.000

***

Number 1: ρ 17.15 g cm⁻³, size of the total moment 0.02 μB per formula unit. Number 2: ρ 16.42 g cm⁻³, size of the total moment 0.00 μB per formula unit. Number 3: ρ 18.44 g cm⁻³, size of the total moment 0.00 μB per formula unit.